Entry 1:
Compound: Y2CuTcN
Source: Alexandria via LeMat-Bulk
Functional: PBE-GGA
Structure: relaxed

Cell lengths 4.874, 4.874, 3.865 Å; angles 90.00, 90.00, 90.00 degrees
Fractional positions:
Y: 0.000 0.500 0.000
Y: 0.500 0.000 0.000
Cu: 0.000 0.000 0.500
Tc: 0.500 0.500 0.500
N: 0.500 0.500 0.000

- E_form (uncorrected) (eV/atom) = -0.6065
- magnetic moment (μB/f.u.) = 0.0
- space-group type = P4/mmm
- Fermi-level density of states (states/eV per cell) = 3.0

Entry 2:
Compound: K2Y4Sn2S11
Source: Alexandria via LeMat-Bulk
Functional: PBE-GGA
Structure: relaxed

Cell lengths 8.700, 8.700, 28.308 Å; angles 90.00, 90.00, 90.00 degrees
Fractional positions:
K: 0.250 0.250 0.129
K: 0.250 0.250 0.307
K: 0.250 0.250 0.629
K: 0.250 0.250 0.807
K: 0.750 0.750 0.193
K: 0.750 0.750 0.371
K: 0.750 0.750 0.693
K: 0.750 0.750 0.871
Y: 0.051 0.644 0.054
Y: 0.051 0.856 0.554
Y: 0.144 0.551 0.446
Y: 0.144 0.949 0.946
Y: 0.356 0.551 0.946
Y: 0.356 0.949 0.446
Y: 0.449 0.644 0.554
Y: 0.449 0.856 0.054
Y: 0.551 0.144 0.946
Y: 0.551 0.356 0.446
Y: 0.644 0.051 0.554
Y: 0.644 0.449 0.054
Y: 0.856 0.051 0.054
Y: 0.856 0.449 0.554
Y: 0.949 0.144 0.446
Y: 0.949 0.356 0.946
Sn: 0.250 0.750 0.191
Sn: 0.250 0.750 0.309
Sn: 0.250 0.750 0.691
Sn: 0.250 0.750 0.809
Sn: 0.750 0.250 0.191
Sn: 0.750 0.250 0.309
Sn: 0.750 0.250 0.691
Sn: 0.750 0.250 0.809
S: 0.060 0.645 0.955
S: 0.060 0.855 0.455
S: 0.075 0.589 0.148
S: 0.075 0.911 0.648
S: 0.089 0.575 0.352
S: 0.089 0.925 0.852
S: 0.103 0.603 0.750
S: 0.103 0.897 0.250
S: 0.145 0.560 0.545
S: 0.145 0.940 0.045
S: 0.250 0.250 0.442
S: 0.250 0.250 0.942
S: 0.355 0.560 0.045
S: 0.355 0.940 0.545
S: 0.397 0.603 0.250
S: 0.397 0.897 0.750
S: 0.411 0.575 0.852
S: 0.411 0.925 0.352
S: 0.425 0.589 0.648
S: 0.425 0.911 0.148
S: 0.440 0.645 0.455
S: 0.440 0.855 0.955
S: 0.560 0.145 0.045
S: 0.560 0.355 0.545
S: 0.575 0.089 0.852
S: 0.575 0.411 0.352
S: 0.589 0.075 0.648
S: 0.589 0.425 0.148
S: 0.603 0.103 0.250
S: 0.603 0.397 0.750
S: 0.645 0.060 0.455
S: 0.645 0.440 0.955
S: 0.750 0.750 0.058
S: 0.750 0.750 0.558
S: 0.855 0.060 0.955
S: 0.855 0.440 0.455
S: 0.897 0.103 0.750
S: 0.897 0.397 0.250
S: 0.911 0.075 0.148
S: 0.911 0.425 0.648
S: 0.925 0.089 0.352
S: 0.925 0.411 0.852
S: 0.940 0.145 0.545
S: 0.940 0.355 0.045

- E_form (uncorrected) (eV/atom) = -1.4694
- magnetic moment (μB/f.u.) = 0.0
- space-group type = P4/ncc